Record 1
! Y4BiH, optimized geometry, DFT PBE; values from VASP
! Final energy in eV/atom: -5.856
! Fermi-level density of states in states/eV/atom: 1.106
&SYSTEM
  ibrav = 0, nat = 12, ntyp = 3
/
ATOMIC_SPECIES
Y 88.91 Y.upf
Bi 208.98 Bi.upf
H 1.01 H.upf
ATOMIC_POSITIONS angstrom
Y 0.1127 4.4278 4.2950
Y -0.2902 0.9983 3.0295
Y 1.3435 -0.9983 0.5537
Y 3.1832 4.4278 3.1324
Y 1.7464 -4.4278 1.8192
Y 3.5861 0.9983 4.3979
Y 5.2198 -0.9983 1.9221
Y 4.8169 -4.4278 0.6566
Bi 3.2816 1.5638 1.2379
Bi 1.6480 -1.5638 3.7137
H 3.2816 7.5213 1.2379
H 1.6480 -7.5213 3.7137
CELL_PARAMETERS angstrom
4.0984 -7.8198 0.0000
4.0984 7.8198 0.0000
-3.2673 0.0000 4.9516


Record 2
! Y2BiH, optimized geometry, DFT PBE; values from VASP
! E above lowest polymorph in meV per atom: 0
! Fermi-level density of states in states/eV/atom: 0.582
&SYSTEM
  ibrav = 0, nat = 16, ntyp = 3
/
ATOMIC_SPECIES
Y 88.91 Y.upf
Bi 208.98 Bi.upf
H 1.01 H.upf
ATOMIC_POSITIONS angstrom
Y 0.0133 0.9038 2.4298
Y -0.6349 2.3443 6.1709
Y 1.8368 4.3367 3.8762
Y 2.4850 5.4078 0.1351
Y 4.0625 1.0885 7.3471
Y 4.7108 2.1596 3.6060
Y 7.1824 4.1520 1.3113
Y 6.5342 5.5925 5.0524
Bi 1.8514 0.8129 5.0338
Bi 2.4997 2.4352 1.2927
Bi 4.0478 4.0611 6.1895
Bi 4.6961 5.6834 2.4484
H -0.6750 4.4403 6.9091
H -0.0267 5.3042 3.1680
H 6.5742 1.1922 4.3142
H 7.2225 2.0560 0.5731
CELL_PARAMETERS angstrom
7.8440 0.0000 0.0000
0.0000 6.4963 0.0000
-1.2965 0.0000 7.4822


Record 3
! Y5Bi2H, optimized geometry, DFT PBE; values from VASP
! Final energy in eV/atom: -5.804
! Fermi-level density of states in states/eV/atom: 1.215
&SYSTEM
  ibrav = 0, nat = 16, ntyp = 3
/
ATOMIC_SPECIES
Y 88.91 Y.upf
Bi 208.98 Bi.upf
H 1.01 H.upf
ATOMIC_POSITIONS angstrom
Y 0.0000 0.0000 0.0000
Y 1.7539 1.7539 6.7658
Y 1.7539 5.2759 6.7658
Y 1.7610 1.7610 2.2817
Y 1.7610 5.2687 2.2817
Y 3.5149 3.5149 4.4841
Y 5.2687 1.7610 2.2817
Y 5.2687 5.2687 2.2817
Y 5.2759 1.7539 6.7658
Y 5.2759 5.2759 6.7658
Bi 0.0000 3.5149 0.0401
Bi 0.0000 3.5149 4.5243
Bi 3.5149 0.0000 0.0401
Bi 3.5149 0.0000 4.5243
H 0.0000 0.0000 6.7131
H 3.5149 3.5149 2.2290
CELL_PARAMETERS angstrom
7.0297 0.0000 0.0000
0.0000 7.0297 0.0000
0.0000 0.0000 8.9683


Record 4
! Y2BiH, optimized geometry, DFT PBE; values from VASP
! E above lowest polymorph in meV per atom: 197
! Fermi-level density of states in states/eV/atom: 0.324
&SYSTEM
  ibrav = 0, nat = 12, ntyp = 3
/
ATOMIC_SPECIES
Y 88.91 Y.upf
Bi 208.98 Bi.upf
H 1.01 H.upf
ATOMIC_POSITIONS angstrom
Y 0.0000 0.0000 4.5517
Y 0.0000 0.0000 14.8890
Y 0.0000 2.3943 8.4088
Y 0.0000 2.3943 17.5122
Y 2.0735 1.1971 1.9285
Y 2.0735 1.1971 11.0319
Bi 0.0000 0.0000 0.0000
Bi 0.0000 2.3943 12.9605
Bi 2.0735 1.1971 6.4802
H 0.0000 0.0000 9.7203
H 0.0000 2.3943 3.2401
H 2.0735 1.1971 16.2006
CELL_PARAMETERS angstrom
4.1470 0.0000 0.0000
-2.0735 3.5914 0.0000
0.0000 0.0000 19.4407


Record 5
! Y4Bi5H, optimized geometry, DFT PBE; values from VASP
! Final energy in eV/atom: -5.183
! Fermi-level density of states in states/eV/atom: 0.917
&SYSTEM
  ibrav = 0, nat = 10, ntyp = 3
/
ATOMIC_SPECIES
Y 88.91 Y.upf
Bi 208.98 Bi.upf
H 1.01 H.upf
ATOMIC_POSITIONS angstrom
Y 0.1424 0.0000 2.8647
Y 6.1427 0.0000 3.9749
Y 11.7075 0.0000 5.2140
Y 17.7079 0.0000 6.3242
Bi 2.4856 0.0000 8.0390
Bi 3.2857 0.0000 2.5586
Bi 9.0501 0.0000 0.0000
Bi 14.5645 0.0000 6.6303
Bi 15.3646 0.0000 1.1499
H 8.9251 0.0000 4.5945
CELL_PARAMETERS angstrom
9.0501 -1.7619 0.0000
9.0501 1.7619 0.0000
-0.2499 0.0000 9.1889


Record 6
! YBiH, optimized geometry, DFT PBE; values from VASP
! E above lowest polymorph in meV per atom: 178
! Fermi-level density of states in states/eV/atom: 0.238
&SYSTEM
  ibrav = 0, nat = 6, ntyp = 3
/
ATOMIC_SPECIES
Y 88.91 Y.upf
Bi 208.98 Bi.upf
H 1.01 H.upf
ATOMIC_POSITIONS angstrom
Y 0.0000 2.0793 4.5817
Y 1.8007 1.0396 7.5091
Bi 0.0000 2.0793 10.2034
Bi 1.8007 1.0396 1.8875
H 0.0000 2.0793 6.7796
H 1.8007 1.0396 5.3112
CELL_PARAMETERS angstrom
3.6014 0.0000 0.0000
-1.8007 3.1189 0.0000
0.0000 0.0000 12.0909


Record 7
! Y5Bi5H2, optimized geometry, DFT PBE; values from VASP
! Final energy in eV/atom: -5.496
! Fermi-level density of states in states/eV/atom: 0.491
&SYSTEM
  ibrav = 0, nat = 12, ntyp = 3
/
ATOMIC_SPECIES
Y 88.91 Y.upf
Bi 208.98 Bi.upf
H 1.01 H.upf
ATOMIC_POSITIONS angstrom
Y 0.0000 0.0000 0.0000
Y 0.6977 0.0000 3.7914
Y 4.1628 0.0000 2.2006
Y 6.8326 0.0000 9.4515
Y 10.2977 0.0000 7.8606
Bi 1.6933 0.0000 7.1208
Bi 3.1067 0.0000 10.3165
Bi 5.4977 0.0000 5.8260
Bi 7.8887 0.0000 1.3356
Bi 9.3021 0.0000 4.5313
H -0.2638 0.0000 9.6123
H 11.2592 0.0000 2.0397
CELL_PARAMETERS angstrom
6.0643 -2.1389 0.0000
6.0643 2.1389 0.0000
-1.1332 0.0000 11.6521


Record 8
! Y2BiH, optimized geometry, DFT PBE; values from VASP
! E above lowest polymorph in meV per atom: 12
! Fermi-level density of states in states/eV/atom: 0.557
&SYSTEM
  ibrav = 0, nat = 16, ntyp = 3
/
ATOMIC_SPECIES
Y 88.91 Y.upf
Bi 208.98 Bi.upf
H 1.01 H.upf
ATOMIC_POSITIONS angstrom
Y 1.1534 1.8018 0.8920
Y 1.8018 4.7569 2.6759
Y 1.8018 6.0537 6.2438
Y 2.4501 1.8018 4.4598
Y 4.7569 5.4053 4.4598
Y 5.4053 1.1534 6.2438
Y 5.4053 2.4501 2.6759
Y 6.0537 5.4053 0.8920
Bi 0.0000 0.0000 3.5679
Bi 0.0000 3.6035 5.3518
Bi 3.6035 0.0000 1.7839
Bi 3.6035 3.6035 0.0000
H 0.0000 0.0000 0.0000
H 0.0000 3.6035 1.7839
H 3.6035 0.0000 5.3518
H 3.6035 3.6035 3.5679
CELL_PARAMETERS angstrom
7.2070 0.0000 0.0000
0.0000 7.2070 0.0000
0.0000 0.0000 7.1357